The following is a DFT calculation (PBE) of crystalline PmTh2ZrN4 at its relaxed geometry.

Values from the calculation:
- Raw formation energy: -1525 meV/atom
- Space group: No. 10
- Final energy: -9.205 eV per atom

Geometry as CIF:
```
data_PmTh2ZrN4
_chemical_formula_sum 'Pm1 Th2 Zr1 N4'
_cell_length_a 3.5309
_cell_length_b 6.1555
_cell_length_c 6.1453
_cell_angle_alpha 109.20
_cell_angle_beta 90.00
_cell_angle_gamma 90.00
_space_group_name_H-M_alt 'P 1'
_space_group_IT_number 1
_space_group_name_Hall 'P 1'
loop_
_atom_site_label
_atom_site_type_symbol
_atom_site_fract_x
_atom_site_fract_y
_atom_site_fract_z
Pm1 Pm 0.5000 0.5000 0.0000
N1 N 0.5000 0.2287 0.2324
N2 N 0.0000 0.7662 0.2422
Zr1 Zr 0.0000 0.0000 0.0000
N3 N 0.5000 0.7713 0.7676
Th1 Th 0.0000 0.5000 0.5000
Th2 Th 0.5000 0.0000 0.5000
N4 N 0.0000 0.2338 0.7578
```